# 1
VHg2W | PBE | relaxed

The energy of formation is 1.00 eV/atom. Its energy above the most stable polymorph in this dataset is 128 meV per atom.

It has space group I-42d (No. 122), with a = 3.9078 Å, b = 3.9078 Å, c = 20.3865 Å, α = 90.00°, β = 90.00° and γ = 90.00°. The inequivalent atoms are V at (0.0000, 0.0000, 0.0000), Hg at (0.2502, 0.2500, 0.1250) and W at (0.0000, 0.0000, 0.5000).

# 2
VS3I | PBE | relaxed

The formation energy without anion corrections is -362.9 meV/atom. Its energy above the most stable polymorph in this dataset is 0 meV per atom.

It has space group P-1 (No. 2), with a = 3.1924 Å, b = 8.3846 Å, c = 9.5242 Å, α = 78.52°, β = 81.63° and γ = 79.15°. The inequivalent atoms are V at (0.2364, 0.1083, 0.4064), S at (0.1505, 0.0641, 0.6577), S at (0.3826, 0.6713, 0.5712), S at (0.4361, 0.4561, 0.6935) and I at (0.3040, 0.2401, 0.0994).

# 3
KMgCuO2 | PBE | relaxed

The formation energy without anion corrections is -1519.8 meV/atom.

It has space group Cmme (No. 67), with a = 5.5704 Å, b = 11.8625 Å, c = 4.9237 Å, α = 90.00°, β = 90.00° and γ = 90.00°. The inequivalent atoms are K at (0.0000, 0.2500, 0.2447), Mg at (0.2500, 0.0000, 0.0000), Cu at (0.0000, 0.0000, 0.5000) and O at (0.0000, 0.0925, 0.8051).

# 4
ErTl2SnSe4 | PBE | relaxed

The formation energy without anion corrections is -875.7 meV/atom.

It has space group P2/m (No. 10), with a = 7.3365 Å, b = 4.1065 Å, c = 8.0575 Å, α = 90.00°, β = 107.11° and γ = 90.00°. The inequivalent atoms are Er at (0.0000, 0.0000, 0.0000), Tl at (0.0000, 0.5000, 0.5000), Tl at (0.5000, 0.0000, 0.5000), Sn at (0.5000, 0.5000, 0.0000), Se at (0.2315, 0.5000, 0.2033) and Se at (0.2594, 0.0000, 0.7926).

| no. | volume (Å³/cell) |
| --- | --- |
| 1 | 311 |
| 2 | 244 |
| 3 | 325 |
| 4 | 232 |